# MoPtRh2 (SCAN, PBEsol geometry)
# energy above the lowest structure with this stoichiometry: 143 meV/atom
# space group: No. 166
data_MoPtRh2
_chemical_formula_sum 'Mo1 Pt1 Rh2'
_cell_length_a 2.7123
_cell_length_b 2.7123
_cell_length_c 9.0886
_cell_angle_alpha 81.42
_cell_angle_beta 81.42
_cell_angle_gamma 60.00
_symmetry_space_group_name_H-M 'P 1'
_symmetry_Int_Tables_number 1
loop_
_symmetry_equiv_pos_as_xyz
'x,y,z'
loop_
_atom_site_label
_atom_site_type_symbol
_atom_site_fract_x
_atom_site_fract_y
_atom_site_fract_z
Pt1 Pt 0.0000 0.0000 0.0000
Rh1 Rh 0.2470 0.2470 0.2591
Rh2 Rh 0.7530 0.7530 0.7409
Mo1 Mo 0.5000 0.5000 0.5000